Entry 1:
MnP2S8 | PBE | relaxed

Cell: 9.2394 12.3023 5.7905 Å, 90.00 107.74 90.00°
Space group C2/m (No. 12)
Asymmetric unit:
Mn  0.0000  0.0000  0.0000 x2
P  0.2216  0.0000  0.7075 x4
S  0.0374  0.5000  0.1929 x4
S  0.1283  0.1289  0.8322 x8
S  0.2236  0.0000  0.3566 x4

Properties
Raw total energy = -0.1838 hartree per atom
Total moment = 3.20 μB/f.u.
ΔE_f (raw) = -0.1829 eV/atom

Entry 2:
K2BaHfCl8 | PBE | relaxed

Cell: 6.7976 9.0263 7.0512 Å, 90.00 91.94 90.00°
Space group P2/m (No. 10)
Asymmetric unit:
K  0.0000  0.2418  0.0000 x2
Ba  0.5000  0.5000  0.5000 x1
Hf  0.5000  0.0000  0.5000 x1
Cl  0.1616  0.5000  0.2270 x2
Cl  0.2098  0.0000  0.2848 x2
Cl  0.3510  0.1970  0.6940 x4

Properties
Raw total energy = -0.1634 hartree per atom
Total moment = 0.00 μB/f.u.
ΔE_f (raw) = -2.0425 eV/atom